Entry 1:
The following is a GGA-PBE calculation of crystalline Th8Si3SbTe4 at its relaxed geometry, from the Alexandria database.

Cell: 8.7563 8.7563 21.9950 Å, 90.00 90.00 120.00°
Space group R-3m (No. 166, hexagonal axes)
Asymmetric unit:
Th: 0.0000 0.0000 0.2369 (multiplicity 6)
Th: 0.0184 0.5092 0.7605 (multiplicity 18)
Si: 0.0000 0.5000 0.5000 (multiplicity 9)
Sb: 0.0000 0.0000 0.5000 (multiplicity 3)
Te: 0.0000 0.0000 0.0000 (multiplicity 3)
Te: 0.0000 0.5000 0.0000 (multiplicity 9)

Calculated values
Formation energy (no corrections)   -15.58 eV/f.u.
DOS(E_F)   28.78 states/eV per cell
Calculated total energy   -6.744 eV per atom

Entry 2:
The following is a GGA-PBE calculation of crystalline Th4SiSb2Te at its relaxed geometry, from the Alexandria database.

Cell: 7.705 4.409 7.726 Å, 90.00 109.10 90.00°
Space group P2/m (No. 10)
Asymmetric unit:
Th: 0.228 0.000 0.226 (multiplicity 2)
Th: 0.239 0.500 0.767 (multiplicity 2)
Si: 0.000 0.500 0.000 (multiplicity 1)
Sb: 0.500 0.000 0.000 (multiplicity 1)
Sb: 0.500 0.500 0.500 (multiplicity 1)
Te: 0.000 0.000 0.500 (multiplicity 1)

Calculated values
Formation energy (no corrections)   -7.27 eV/f.u.
DOS(E_F)   5.10 states/eV per cell
Calculated total energy   -6.720 eV per atom

Question: Number 1 is which compound?
Answer: Th8Si3SbTe4